i | Computed, not measured: an optimized crystal structure of Nd3SbTe at the GGA-PBE level of DFT.

Output
Magnetization = 0.0 Bohr magnetons per cell
SG = No. 62
Density of states at the Fermi level = 4.6 states/eV/f.u.
Volume = 643 Å³/cell

Cell lengths 4.4535, 8.4433, 17.1087 Å; angles 90.00, 90.00, 90.00 degrees
Fractional coordinates of all 20 atoms:
Nd (0.2500, 0.3644, 0.5636)
Nd (0.7500, 0.8379, 0.2241)
Nd (0.7500, 0.5126, 0.8905)
Nd (0.7500, 0.0126, 0.6095)
Nd (0.7500, 0.6356, 0.4364)
Nd (0.2500, 0.9874, 0.3905)
Nd (0.2500, 0.8644, 0.9364)
Nd (0.7500, 0.3379, 0.2759)
Nd (0.2500, 0.6621, 0.7241)
Nd (0.2500, 0.1621, 0.7759)
Nd (0.7500, 0.1356, 0.0636)
Nd (0.2500, 0.4874, 0.1095)
Sb (0.7500, 0.8807, 0.7983)
Sb (0.2500, 0.1193, 0.2017)
Sb (0.7500, 0.3807, 0.7017)
Sb (0.2500, 0.6193, 0.2983)
Te (0.2500, 0.2693, 0.9517)
Te (0.2500, 0.7693, 0.5483)
Te (0.7500, 0.2307, 0.4517)
Te (0.7500, 0.7307, 0.0483)

=====

ii | Computed, not measured: an optimized crystal structure of Nd3SbTe at the GGA-PBE level of DFT.

Output
Magnetization = 0.0 Bohr magnetons per cell
SG = No. 12
Density of states at the Fermi level = 3.3 states/eV/f.u.
Volume = 399 Å³/cell

Cell lengths 4.3979, 9.2606, 10.7027 Å; angles 108.98, 90.03, 103.72 degrees
Fractional coordinates of all 10 atoms:
Nd (0.1832, 0.3660, 0.5642)
Nd (0.6515, 0.3031, 0.0554)
Nd (0.0157, 0.0312, 0.1761)
Nd (0.8168, 0.6340, 0.4358)
Nd (0.9843, 0.9688, 0.8239)
Nd (0.3485, 0.6969, 0.9446)
Sb (0.3708, 0.7419, 0.6522)
Sb (0.6292, 0.2581, 0.3478)
Te (0.1617, 0.3240, 0.8401)
Te (0.8383, 0.6760, 0.1599)

=====

Order from most stable to least stable according to the calculation: i, ii

=====

i | Computed, not measured: an optimized crystal structure of Nd4Sb3Te at the GGA-PBE level of DFT.

Output
Magnetization = 0.0 Bohr magnetons per cell
SG = No. 139
Density of states at the Fermi level = 3.1 states/eV/f.u.
Volume = 261 Å³/cell

Cell lengths 6.3917, 6.3917, 7.8285 Å; angles 114.09, 114.09, 90.00 degrees
Fractional coordinates of all 8 atoms:
Sb (0.5000, 0.5000, 0.0000)
Sb (0.7500, 0.2500, 0.5000)
Sb (0.2500, 0.7500, 0.5000)
Te (0.0000, 0.0000, 0.0000)
Nd (0.0000, 0.5000, 0.0000)
Nd (0.5000, 0.0000, 0.0000)
Nd (0.2534, 0.2534, 0.5067)
Nd (0.7467, 0.7467, 0.4933)

=====

ii | Computed, not measured: an optimized crystal structure of Nd4Sb3Te at the GGA-PBE level of DFT.

Output
Magnetization = 0.0 Bohr magnetons per cell
SG = No. 221
Density of states at the Fermi level = 4.0 states/eV/f.u.
Volume = 261 Å³/cell

Cell lengths 6.3897, 6.3897, 6.3897 Å; angles 90.00, 90.00, 90.00 degrees
Fractional coordinates of all 8 atoms:
Nd (0.5000, 0.0000, 0.0000)
Nd (0.0000, 0.5000, 0.0000)
Nd (0.0000, 0.0000, 0.5000)
Nd (0.5000, 0.5000, 0.5000)
Sb (0.0000, 0.5000, 0.5000)
Sb (0.5000, 0.0000, 0.5000)
Sb (0.5000, 0.5000, 0.0000)
Te (0.0000, 0.0000, 0.0000)

=====

Order from most stable to least stable according to the calculation: i, ii

=====

i | Computed, not measured: an optimized crystal structure of Nd5Sb4Te at the GGA-PBE level of DFT.

Output
Magnetization = 0.0 Bohr magnetons per cell
SG = No. 139
Density of states at the Fermi level = 2.4 states/eV/f.u.
Volume = 327 Å³/cell

Cell lengths 4.5205, 4.5205, 16.3043 Å; angles 97.97, 97.97, 90.00 degrees
Fractional coordinates of all 10 atoms:
Nd (0.1020, 0.1020, 0.2041)
Nd (0.5000, 0.5000, 0.0000)
Nd (0.8980, 0.8980, 0.7959)
Nd (0.2998, 0.2998, 0.5996)
Nd (0.7002, 0.7002, 0.4004)
Sb (0.4009, 0.4009, 0.8018)
Sb (0.7998, 0.7998, 0.5995)
Sb (0.2002, 0.2002, 0.4005)
Sb (0.5991, 0.5991, 0.1982)
Te (0.0000, 0.0000, 0.0000)

=====

ii | Computed, not measured: an optimized crystal structure of Nd5Sb4Te at the GGA-PBE level of DFT.

Output
Magnetization = 0.0 Bohr magnetons per cell
SG = No. 87
Density of states at the Fermi level = 2.7 states/eV/f.u.
Volume = 327 Å³/cell

Cell lengths 6.3936, 7.8318, 7.8318 Å; angles 80.41, 65.91, 65.91 degrees
Fractional coordinates of all 10 atoms:
Nd (0.8994, 0.4060, 0.7971)
Nd (0.3055, 0.7971, 0.5940)
Nd (0.6965, 0.2029, 0.4060)
Nd (0.1025, 0.5940, 0.2029)
Nd (0.5012, 0.0000, 0.0000)
Sb (0.3998, 0.3999, 0.8024)
Sb (0.7997, 0.8024, 0.6001)
Sb (0.2022, 0.1976, 0.3999)
Sb (0.6021, 0.6001, 0.1976)
Te (0.0012, 0.0000, 0.0000)

=====

Order from most stable to least stable according to the calculation: ii, i

=====

i | Computed, not measured: an optimized crystal structure of NdTiSb2 at the GGA-PBE level of DFT.

Output
Magnetization = 0.0 Bohr magnetons per cell
SG = No. 166
Density of states at the Fermi level = 3.7 states/eV/f.u.
Volume = 117 Å³/cell

Cell lengths 3.6589, 3.6589, 10.2988 Å; angles 79.77, 79.77, 60.00 degrees
Fractional coordinates of all 4 atoms:
Sb (0.1051, 0.1051, 0.6848)
Sb (0.8949, 0.8949, 0.3152)
Nd (0.0000, 0.0000, 0.0000)
Ti (0.5000, 0.5000, 0.5000)

=====

ii | Computed, not measured: an optimized crystal structure of NdTiSb2 at the GGA-PBE level of DFT.

Output
Magnetization = 0.9 Bohr magnetons per cell
SG = No. 119
Density of states at the Fermi level = 3.1 states/eV/f.u.
Volume = 114 Å³/cell

Cell lengths 4.2393, 4.2374, 7.0240 Å; angles 107.60, 107.55, 90.00 degrees
Site moments in Bohr magnetons follow the coordinates.
Fractional coordinates of all 4 atoms:
Nd (0.2214, 0.8814, 0.2283)  0.14
Ti (0.4711, 0.6304, 0.7281)  0.45
Sb (0.8435, 0.5045, 0.4727)  -0.03
Sb (0.5993, 0.2584, 0.9837)  -0.03

=====

Order from most stable to least stable according to the calculation: ii, i